# 1
YHo7Al4: optimized geometry, GGA-PBE.

Its crystal system is triclinic. The value obtained for the formation energy is -199 meV per atom. As for the density of states at the Fermi level: 8.351 states/eV/f.u. The calculation puts the uncorrected energy at -55.87 eV per cell.

It has space group P-1 (No. 2), with a = 6.4385 Å, b = 6.5139 Å, c = 8.3888 Å, α = 92.81°, β = 112.49° and γ = 90.10°. Symmetry generates all atoms from Y at (0.0000, 0.0000, 0.0000), Ho at (0.0000, 0.5000, 0.0000), Ho at (0.2145, 0.4272, 0.4287), Ho at (0.2466, 0.9389, 0.4942), Ho at (0.4328, 0.7218, 0.8640), Al at (0.1829, 0.2534, 0.7696) and Al at (0.4131, 0.7478, 0.2301).

---

# 2
Y2HoAl9: optimized geometry, GGA-PBE.

Its crystal system is tetragonal. Its offset from the most stable computed form is 0 meV/atom. The value obtained for the formation energy is -422 meV per atom. As for the density of states at the Fermi level: 4.801 states/eV/f.u. The calculation puts the uncorrected energy at -56.25 eV per cell.

It has space group P4/mmm (No. 123), with a = 4.2567 Å, b = 4.2567 Å, c = 12.7719 Å, α = 90.00°, β = 90.00° and γ = 90.00°. Symmetry generates all atoms from Y at (0.0000, 0.0000, 0.1671), Ho at (0.0000, 0.0000, 0.5000), Al at (0.0000, 0.5000, 0.0000), Al at (0.0000, 0.5000, 0.3343), Al at (0.5000, 0.5000, 0.1668) and Al at (0.5000, 0.5000, 0.5000).

---

# 3
Y6HoAl: optimized geometry, GGA-PBE.

Its crystal system is trigonal. The value obtained for the formation energy is 28 meV per atom. As for the density of states at the Fermi level: 11.626 states/eV/f.u. The calculation puts the uncorrected energy at -140.65 eV per cell.

It has space group R-3 (No. 148, hexagonal axes), with a = 9.2204 Å, b = 9.2204 Å, c = 10.0187 Å, α = 90.00°, β = 90.00° and γ = 120.00°. Symmetry generates all atoms from Y at (0.0238, 0.7722, 0.2145), Ho at (0.0000, 0.0000, 0.5000) and Al at (0.0000, 0.0000, 0.0000).

---

# 4
Y2HoAl: optimized geometry, GGA-PBE.

Its crystal system is cubic. Its offset from the most stable computed form is 145 meV/atom. The value obtained for the formation energy is -59 meV per atom. As for the density of states at the Fermi level: 6.711 states/eV/f.u. The calculation puts the uncorrected energy at -85.94 eV per cell.

It has space group Fm-3m (No. 225), with a = 7.5768 Å, b = 7.5768 Å, c = 7.5768 Å, α = 90.00°, β = 90.00° and γ = 90.00°. Symmetry generates all atoms from Y at (0.2500, 0.2500, 0.2500), Ho at (0.0000, 0.0000, 0.0000) and Al at (0.0000, 0.0000, 0.5000).

---

# 5
YHo8Al2: optimized geometry, GGA-PBE.

Its crystal system is monoclinic. The value obtained for the formation energy is 12 meV per atom. As for the density of states at the Fermi level: 15.834 states/eV/f.u. The calculation puts the uncorrected energy at -100.88 eV per cell.

It has space group C2/m (No. 12), with a = 8.7643 Å, b = 14.5841 Å, c = 5.5394 Å, α = 90.00°, β = 113.01° and γ = 90.00°. Symmetry generates all atoms from Y at (0.0000, 0.0000, 0.0000), Ho at (0.0000, 0.2239, 0.0000), Ho at (0.0958, 0.5000, 0.7961), Ho at (0.2072, 0.1190, 0.6123) and Al at (0.0000, 0.3081, 0.5000).

---

# 6
YHoAl6: optimized geometry, GGA-PBE.

Its crystal system is cubic. Its offset from the most stable computed form is 340 meV/atom. The value obtained for the formation energy is -92 meV per atom. As for the density of states at the Fermi level: 5.546 states/eV/f.u. The calculation puts the uncorrected energy at -34.23 eV per cell.

It has space group Pm-3 (No. 200), with a = 5.5021 Å, b = 5.5021 Å, c = 5.5021 Å, α = 90.00°, β = 90.00° and γ = 90.00°. Symmetry generates all atoms from Y at (0.0000, 0.0000, 0.0000), Ho at (0.5000, 0.5000, 0.5000) and Al at (0.0000, 0.2503, 0.5000).